(1)
DFT (meta-GGA SCAN) results for HoPaTc2 at its PBEsol-relaxed geometry.

```
HoPaTc2
1.0
0.0000 3.3687 3.3687
3.3687 0.0000 3.3687
3.3687 3.3687 0.0000
Ho Pa Tc
1 1 2
direct
0.0000 0.0000 0.0000
0.5000 0.5000 0.5000
0.2500 0.2500 0.2500
0.7500 0.7500 0.7500
```

V, A^3/atom: 19.115
Symmetry: Fm-3m, No. 225
Final energy, eV per atom: -54.90

(2)
DFT (meta-GGA SCAN) results for Ho3Pb at its PBEsol-relaxed geometry.

```
Ho3Pb
1.0
-2.2982 2.2982 5.1196
2.2982 -2.2982 5.1196
2.2982 2.2982 -5.1196
Ho Pb
3 1
direct
0.0000 0.0000 0.0000
0.2500 0.7500 0.5000
0.7500 0.2500 0.5000
0.5000 0.5000 0.0000
```

V, A^3/atom: 27.040
Symmetry: I4/mmm, No. 139
Final energy, eV per atom: -56.09